7
Lattice="-0.448 1.171 -4.427 -3.047 -2.190 -2.663 -8.338 6.544 0.183" Properties=species:S:1:pos:R:3 comment="PBE Er4Pt2Pb, optimized geometry" rho_g_cm3=11.175 spacegroup=R-3m m_tot_mub_per_fu=0.0 formation_energy_ev_per_atom=-0.827 final_energy_ev_per_fu=-39.83 dos_at_fermi_per_ev_cell=4.661 pbc="T T T"
Er -5.922 4.226 -0.675
Er -9.942 5.168 -4.801
Er -5.911 1.299 -6.233
Er -1.891 0.357 -2.106
Pb -5.916 2.762 -3.454
Pt -8.128 4.885 -2.669
Pt -3.705 0.640 -4.239